A plane-wave DFT calculation with PBE was carried out for a relaxed GaCu3Ru crystal.

```
data_GaCu3Ru
_chemical_formula_sum 'Ga1 Cu3 Ru1'
_symmetry_space_group_name_H-M 'P m -3 m'
_symmetry_Int_Tables_number 221
_symmetry_space_group_name_Hall '-P 4 2 3'
_cell_length_a 4.3629
_cell_length_b 4.3629
_cell_length_c 4.3629
_cell_angle_alpha 90.00
_cell_angle_beta 90.00
_cell_angle_gamma 90.00
loop_
_atom_site_label
_atom_site_type_symbol
_atom_site_fract_x
_atom_site_fract_y
_atom_site_fract_z
_atom_site_occupancy
Ga1 Ga 0.0000 0.0000 0.0000 1
Cu1 Cu 0.0000 0.0000 0.5000 1
Ru1 Ru 0.5000 0.5000 0.5000 1
```

Results
Final energy ... -3.898 eV/atom
Calculated formation energy ... 1.0204 eV per atom
Relative energy among the computed polymorphs ... 0.000 eV per atom
Fermi-level density of states ... 0.58 states/eV/atom

***

A plane-wave DFT calculation with PBE was carried out for a relaxed Sc4GaCu2Ru crystal.

```
data_Sc4GaCu2Ru
_chemical_formula_sum 'Sc12 Ga3 Cu6 Ru3'
_symmetry_space_group_name_H-M 'R -3 m'
_symmetry_Int_Tables_number 166
_symmetry_space_group_name_Hall '-R 3 2"'
_cell_length_a 4.6269
_cell_length_b 4.6269
_cell_length_c 22.7490
_cell_angle_alpha 90.00
_cell_angle_beta 90.00
_cell_angle_gamma 120.00
loop_
_atom_site_label
_atom_site_type_symbol
_atom_site_fract_x
_atom_site_fract_y
_atom_site_fract_z
_atom_site_occupancy
Sc1 Sc 0.0000 0.0000 0.1201 1
Sc2 Sc 0.0000 0.0000 0.3712 1
Ga1 Ga 0.0000 0.0000 0.5000 1
Cu1 Cu 0.0000 0.0000 0.2479 1
Ru1 Ru 0.0000 0.0000 0.0000 1
```

Results
Final energy ... -6.211 eV/atom
Calculated formation energy ... -0.4830 eV per atom
Fermi-level density of states ... 0.52 states/eV/atom

***

A plane-wave DFT calculation with PBE was carried out for a relaxed Sc3Ga2CuRu3 crystal.

```
data_Sc3Ga2CuRu3
_chemical_formula_sum 'Sc3 Ga2 Cu1 Ru3'
_symmetry_space_group_name_H-M 'P -6 2 m'
_symmetry_Int_Tables_number 189
_symmetry_space_group_name_Hall 'P -6 -2'
_cell_length_a 7.3718
_cell_length_b 7.3718
_cell_length_c 3.0811
_cell_angle_alpha 90.00
_cell_angle_beta 90.00
_cell_angle_gamma 120.00
loop_
_atom_site_label
_atom_site_type_symbol
_atom_site_fract_x
_atom_site_fract_y
_atom_site_fract_z
_atom_site_occupancy
Sc1 Sc 0.0000 0.7210 0.0000 1
Ga1 Ga 0.3333 0.6667 0.0000 1
Cu1 Cu 0.0000 0.0000 0.5000 1
Ru1 Ru 0.0000 0.3876 0.5000 1
```

Results
Final energy ... -6.667 eV/atom
Calculated formation energy ... -0.3367 eV per atom
Fermi-level density of states ... 0.70 states/eV/atom

***

A plane-wave DFT calculation with PBE was carried out for a relaxed Sm2Ga4CuRu3 crystal.

```
data_Sm2Ga4CuRu3
_chemical_formula_sum 'Sm2 Ga4 Cu1 Ru3'
_symmetry_space_group_name_H-M 'P -4 m 2'
_symmetry_Int_Tables_number 115
_cell_length_a 4.0806
_cell_length_b 4.0806
_cell_length_c 10.9740
_cell_angle_alpha 90.00
_cell_angle_beta 90.00
_cell_angle_gamma 90.00
loop_
_symmetry_equiv_pos_as_xyz
'x,y,z'
'y,-x,-z'
'-x,-y,z'
'-y,x,-z'
'-x,y,z'
'-y,-x,-z'
'x,-y,z'
'y,x,-z'
loop_
_atom_site_label
_atom_site_type_symbol
_atom_site_fract_x
_atom_site_fract_y
_atom_site_fract_z
_atom_site_occupancy
Sm1 Sm 0.0000 0.5000 0.2434 1
Ga1 Ga 0.0000 0.0000 0.0000 1
Ga2 Ga 0.0000 0.5000 0.6303 1
Ga3 Ga 0.5000 0.5000 0.0000 1
Cu1 Cu 0.0000 0.0000 0.5000 1
Ru1 Ru 0.0000 0.5000 0.8607 1
Ru2 Ru 0.5000 0.5000 0.5000 1
```

Results
Final energy ... -5.755 eV/atom
Calculated formation energy ... -0.4082 eV per atom
Fermi-level density of states ... 0.38 states/eV/atom

***

A plane-wave DFT calculation with PBE was carried out for a relaxed SmGa4CuRu2 crystal.

```
data_SmGa4CuRu2
_chemical_formula_sum 'Sm3 Ga12 Cu3 Ru6'
_symmetry_space_group_name_H-M 'R -3 m'
_symmetry_Int_Tables_number 166
_symmetry_space_group_name_Hall '-R 3 2"'
_cell_length_a 4.2575
_cell_length_b 4.2575
_cell_length_c 25.8781
_cell_angle_alpha 90.00
_cell_angle_beta 90.00
_cell_angle_gamma 120.00
loop_
_atom_site_label
_atom_site_type_symbol
_atom_site_fract_x
_atom_site_fract_y
_atom_site_fract_z
_atom_site_occupancy
Sm1 Sm 0.0000 0.0000 0.0000 1
Ga1 Ga 0.0000 0.0000 0.1289 1
Ga2 Ga 0.0000 0.0000 0.4003 1
Cu1 Cu 0.0000 0.0000 0.5000 1
Ru1 Ru 0.0000 0.0000 0.2289 1
```

Results
Final energy ... -5.279 eV/atom
Calculated formation energy ... -0.3445 eV per atom
Fermi-level density of states ... 0.46 states/eV/atom

***

A plane-wave DFT calculation with PBE was carried out for a relaxed Sm2Ga4Cu3Ru crystal.

```
data_Sm2Ga4Cu3Ru
_chemical_formula_sum 'Sm2 Ga4 Cu3 Ru1'
_symmetry_space_group_name_H-M 'P -4 m 2'
_symmetry_Int_Tables_number 115
_cell_length_a 4.1086
_cell_length_b 4.1086
_cell_length_c 10.5601
_cell_angle_alpha 90.00
_cell_angle_beta 90.00
_cell_angle_gamma 90.00
loop_
_symmetry_equiv_pos_as_xyz
'x,y,z'
'y,-x,-z'
'-x,-y,z'
'-y,x,-z'
'-x,y,z'
'-y,-x,-z'
'x,-y,z'
'y,x,-z'
loop_
_atom_site_label
_atom_site_type_symbol
_atom_site_fract_x
_atom_site_fract_y
_atom_site_fract_z
_atom_site_occupancy
Sm1 Sm 0.0000 0.5000 0.2484 1
Ga1 Ga 0.0000 0.0000 0.0000 1
Ga2 Ga 0.0000 0.5000 0.6343 1
Ga3 Ga 0.5000 0.5000 0.0000 1
Cu1 Cu 0.0000 0.5000 0.8656 1
Cu2 Cu 0.5000 0.5000 0.5000 1
Ru1 Ru 0.0000 0.0000 0.5000 1
```

Results
Final energy ... -4.751 eV/atom
Calculated formation energy ... -0.4402 eV per atom
Fermi-level density of states ... 0.53 states/eV/atom

***

A plane-wave DFT calculation with PBE was carried out for a relaxed TaGaCuRu crystal.

```
data_TaGaCuRu
_chemical_formula_sum 'Ta4 Ga4 Cu4 Ru4'
_symmetry_space_group_name_H-M 'F -4 3 m'
_symmetry_Int_Tables_number 216
_symmetry_space_group_name_Hall 'F -4 2 3'
_cell_length_a 6.1828
_cell_length_b 6.1828
_cell_length_c 6.1828
_cell_angle_alpha 90.00
_cell_angle_beta 90.00
_cell_angle_gamma 90.00
loop_
_atom_site_label
_atom_site_type_symbol
_atom_site_fract_x
_atom_site_fract_y
_atom_site_fract_z
_atom_site_occupancy
Ta1 Ta 0.0000 0.0000 0.0000 1
Ga1 Ga 0.0000 0.0000 0.5000 1
Cu1 Cu 0.2500 0.2500 0.7500 1
Ru1 Ru 0.2500 0.2500 0.2500 1
```

Results
Final energy ... -7.235 eV/atom
Calculated formation energy ... -0.1726 eV per atom
Fermi-level density of states ... 0.96 states/eV/atom

***

A plane-wave DFT calculation with PBE was carried out for a relaxed Tb4GaCuRu2 crystal.

```
data_Tb4GaCuRu2
_chemical_formula_sum 'Tb12 Ga3 Cu3 Ru6'
_symmetry_space_group_name_H-M 'R -3 m'
_symmetry_Int_Tables_number 166
_symmetry_space_group_name_Hall '-R 3 2"'
_cell_length_a 4.9191
_cell_length_b 4.9191
_cell_length_c 24.0887
_cell_angle_alpha 90.00
_cell_angle_beta 90.00
_cell_angle_gamma 120.00
loop_
_atom_site_label
_atom_site_type_symbol
_atom_site_fract_x
_atom_site_fract_y
_atom_site_fract_z
_atom_site_occupancy
Tb1 Tb 0.0000 0.0000 0.1223 1
Tb2 Tb 0.0000 0.0000 0.3728 1
Ga1 Ga 0.0000 0.0000 0.5000 1
Cu1 Cu 0.0000 0.0000 0.0000 1
Ru1 Ru 0.0000 0.0000 0.2487 1
```

Results
Final energy ... -5.892 eV/atom
Calculated formation energy ... -0.3674 eV per atom
Fermi-level density of states ... 0.68 states/eV/atom

***

A plane-wave DFT calculation with PBE was carried out for a relaxed Tb2Ga4CuRu3 crystal.

```
data_Tb2Ga4CuRu3
_chemical_formula_sum 'Tb2 Ga4 Cu1 Ru3'
_symmetry_space_group_name_H-M 'P -4 m 2'
_symmetry_Int_Tables_number 115
_cell_length_a 4.0114
_cell_length_b 4.0114
_cell_length_c 11.1203
_cell_angle_alpha 90.00
_cell_angle_beta 90.00
_cell_angle_gamma 90.00
loop_
_symmetry_equiv_pos_as_xyz
'x,y,z'
'y,-x,-z'
'-x,-y,z'
'-y,x,-z'
'-x,y,z'
'-y,-x,-z'
'x,-y,z'
'y,x,-z'
loop_
_atom_site_label
_atom_site_type_symbol
_atom_site_fract_x
_atom_site_fract_y
_atom_site_fract_z
_atom_site_occupancy
Tb1 Tb 0.0000 0.5000 0.2421 1
Ga1 Ga 0.0000 0.0000 0.0000 1
Ga2 Ga 0.0000 0.5000 0.6319 1
Ga3 Ga 0.5000 0.5000 0.0000 1
Cu1 Cu 0.0000 0.0000 0.5000 1
Ru1 Ru 0.0000 0.5000 0.8580 1
Ru2 Ru 0.5000 0.5000 0.5000 1
```

Results
Final energy ... -5.740 eV/atom
Calculated formation energy ... -0.4111 eV per atom
Fermi-level density of states ... 0.63 states/eV/atom

***

A plane-wave DFT calculation with PBE was carried out for a relaxed TbGa4Cu2Ru crystal.

```
data_TbGa4Cu2Ru
_chemical_formula_sum 'Tb3 Ga12 Cu6 Ru3'
_symmetry_space_group_name_H-M 'R -3 m'
_symmetry_Int_Tables_number 166
_symmetry_space_group_name_Hall '-R 3 2"'
_cell_length_a 4.1673
_cell_length_b 4.1673
_cell_length_c 26.7109
_cell_angle_alpha 90.00
_cell_angle_beta 90.00
_cell_angle_gamma 120.00
loop_
_atom_site_label
_atom_site_type_symbol
_atom_site_fract_x
_atom_site_fract_y
_atom_site_fract_z
_atom_site_occupancy
Tb1 Tb 0.0000 0.0000 0.0000 1
Ga1 Ga 0.0000 0.0000 0.1305 1
Ga2 Ga 0.0000 0.0000 0.4006 1
Cu1 Cu 0.0000 0.0000 0.2345 1
Ru1 Ru 0.0000 0.0000 0.5000 1
```

Results
Final energy ... -4.576 eV/atom
Calculated formation energy ... -0.2998 eV per atom
Fermi-level density of states ... 0.41 states/eV/atom

***

A plane-wave DFT calculation with PBE was carried out for a relaxed Tb2Ga4Cu3Ru crystal.

```
data_Tb2Ga4Cu3Ru
_chemical_formula_sum 'Tb2 Ga4 Cu3 Ru1'
_symmetry_space_group_name_H-M 'P -4 m 2'
_symmetry_Int_Tables_number 115
_cell_length_a 4.0530
_cell_length_b 4.0530
_cell_length_c 10.5962
_cell_angle_alpha 90.00
_cell_angle_beta 90.00
_cell_angle_gamma 90.00
loop_
_symmetry_equiv_pos_as_xyz
'x,y,z'
'y,-x,-z'
'-x,-y,z'
'-y,x,-z'
'-x,y,z'
'-y,-x,-z'
'x,-y,z'
'y,x,-z'
loop_
_atom_site_label
_atom_site_type_symbol
_atom_site_fract_x
_atom_site_fract_y
_atom_site_fract_z
_atom_site_occupancy
Tb1 Tb 0.0000 0.5000 0.2481 1
Ga1 Ga 0.0000 0.0000 0.0000 1
Ga2 Ga 0.0000 0.5000 0.6359 1
Ga3 Ga 0.5000 0.5000 0.0000 1
Cu1 Cu 0.0000 0.5000 0.8633 1
Cu2 Cu 0.5000 0.5000 0.5000 1
Ru1 Ru 0.0000 0.0000 0.5000 1
```

Results
Final energy ... -4.736 eV/atom
Calculated formation energy ... -0.4426 eV per atom
Fermi-level density of states ... 0.50 states/eV/atom

***

A plane-wave DFT calculation with PBE was carried out for a relaxed TbGaCuRu crystal.

```
data_TbGaCuRu
_chemical_formula_sum 'Tb4 Ga4 Cu4 Ru4'
_symmetry_space_group_name_H-M 'F -4 3 m'
_symmetry_Int_Tables_number 216
_symmetry_space_group_name_Hall 'F -4 2 3'
_cell_length_a 6.4787
_cell_length_b 6.4787
_cell_length_c 6.4787
_cell_angle_alpha 90.00
_cell_angle_beta 90.00
_cell_angle_gamma 90.00
loop_
_atom_site_label
_atom_site_type_symbol
_atom_site_fract_x
_atom_site_fract_y
_atom_site_fract_z
_atom_site_occupancy
Tb1 Tb 0.0000 0.0000 0.0000 1
Ga1 Ga 0.0000 0.0000 0.5000 1
Cu1 Cu 0.2500 0.2500 0.2500 1
Ru1 Ru 0.2500 0.2500 0.7500 1
```

Results
Final energy ... -5.472 eV/atom
Calculated formation energy ... -0.2147 eV per atom
Fermi-level density of states ... 0.65 states/eV/atom